# YScCr | Alexandria via LeMat-Bulk | GGA-PBE | relaxed
data_YScCr
_cell_length_a 6.9194
_cell_length_b 6.9194
_cell_length_c 6.9194
_cell_angle_alpha 90.00
_cell_angle_beta 90.00
_cell_angle_gamma 90.00
_space_group_name_H-M_alt 'F -4 3 m'
_space_group_IT_number 216
_space_group_name_Hall 'F -4 2 3'
loop_
_atom_site_label
_atom_site_type_symbol
_atom_site_fract_x
_atom_site_fract_y
_atom_site_fract_z
_atom_site_occupancy
Y1 Y 0.0000 0.0000 0.0000 1
Sc1 Sc 0.2500 0.2500 0.2500 1
Cr1 Cr 0.2500 0.2500 0.7500 1
# * volume: 331.3 Å³ per cell
# * E_tot: -6.344 eV/atom
# * E above lowest polymorph: 863 meV/atom
# * E_form: 1129 meV per atom
# * crystal system: cubic

***

# SrBePIr2 | Alexandria via LeMat-Bulk | GGA-PBE | relaxed
data_SrBePIr2
_cell_length_a 4.3767
_cell_length_b 4.3767
_cell_length_c 4.4649
_cell_angle_alpha 90.00
_cell_angle_beta 90.00
_cell_angle_gamma 90.00
_space_group_name_H-M_alt 'P 4/m m m'
_space_group_IT_number 123
_space_group_name_Hall '-P 4 2'
loop_
_atom_site_label
_atom_site_type_symbol
_atom_site_fract_x
_atom_site_fract_y
_atom_site_fract_z
_atom_site_occupancy
Sr1 Sr 0.0000 0.0000 0.0000 1
Be1 Be 0.5000 0.5000 0.5000 1
P1 P 0.5000 0.5000 0.0000 1
Ir1 Ir 0.0000 0.5000 0.5000 1
# * volume: 85.5 Å³ per cell
# * E_tot: -5.549 eV/atom
# * E_form: 159 meV per atom
# * crystal system: tetragonal